Record 1
CaSbH after structural relaxation. Source: Alexandria, functional PBE.

POSCAR file:
```
CaSbH
1.0
5.071 -1.961 0.000
5.071 1.961 0.000
-4.811 0.000 7.248
Ca Sb H
2 2 2
Direct
0.220 0.220 0.310
0.780 0.780 0.690
0.381 0.381 0.059
0.619 0.619 0.941
0.191 0.191 0.548
0.809 0.809 0.452
```

## Properties
Space-group type: C2/m, No. 12
Polymorph energy (0 for the lowest one): 0.080 eV per atom

Record 2
AlVGe2Au after structural relaxation. Source: Alexandria, functional PBE.

POSCAR file:
```
AlVGe2Au
1.0
4.723 0.000 0.000
0.000 4.723 0.000
0.000 0.000 4.846
Al V Ge Au
1 1 2 1
Direct
0.000 0.000 0.000
0.000 0.000 0.500
0.000 0.500 0.500
0.500 0.000 0.500
0.500 0.500 0.000
```

## Properties
Formation enthalpy at 0 K: 0.52 eV per atom
Space-group type: P4/mmm, No. 123

Record 3
HoSnSb2 after structural relaxation. Source: Alexandria, functional PBE.

POSCAR file:
```
HoSnSb2
1.0
2.315 1.336 8.568
-2.315 1.336 8.568
0.000 -2.673 8.568
Ho Sn Sb
1 1 2
Direct
0.000 0.000 0.000
0.500 0.500 0.500
0.392 0.392 0.392
0.608 0.608 0.608
```

## Properties
Space-group type: R-3m, No. 166
Polymorph energy (0 for the lowest one): 0.458 eV per atom
Formation energy from raw total energies: 0.06 eV per formula unit

no.,total DFT energy (no corrections) (eV for the cell shown)
1,-21.8
2,-22.8
3,-16.8